# Y2AlSnPt6

An optimized crystal structure of Y2AlSnPt6 (PBE-GGA, the Alexandria database).

a b c (Å): 8.835 5.584 5.581
angles (deg): 59.95 71.64 90.01
Fractional positions:
Al 0.500 0.500 0.000
Pt 0.729 0.744 0.513
Pt 0.729 0.744 0.015
Pt 0.271 0.758 0.986
Pt 0.729 0.242 0.014
Pt 0.271 0.256 0.985
Pt 0.271 0.256 0.487
Y 0.398 0.799 0.401
Sn 0.000 0.000 0.000
Y 0.602 0.201 0.599

## Properties
Formation enthalpy at 0 K in eV per atom: -0.88
Fermi-level density of states in states/eV/cell: 3.8
Total DFT energy (no corrections) in eV for the cell shown: -65.71
Space group: C2/m (12)